VASP calculation (PBE-GGA) on a relaxed PuCuAg crystal.

abc: 2.9105 3.6889 9.2989
angles: 90.00 92.94 90.00
With the nearest neighbours (Å) after each atom.
Space group P2_1/m (No. 11)
Inequivalent atoms, fractional coordinates:
Pu1 0.1381 0.2500 0.0663 x2  2 Pu 2.34
Cu1 0.2921 0.2500 0.7332 x2  5 Ag 2.70-3.00, 2 Cu 2.91, 2 Pu 2.95
Ag1 0.2356 0.2500 0.4104 x2  5 Cu 2.70-3.00, 6 Ag 2.88-2.91

## Properties
DFT formation energy = 0.136 eV/atom
Total magnetic moment = 0.000 μB/atom
E above lowest polymorph = 95 meV per atom
Total energy = -6.9570 eV per atom

---

VASP calculation (PBE-GGA) on a relaxed V2CuMo2 crystal.

abc: 3.9397 3.9397 10.6033
angles: 90.00 90.00 90.00
With the nearest neighbours (Å) after each atom.
Space group I4/mmm (No. 139)
Inequivalent atoms, fractional coordinates:
V1 0.0000 0.0000 0.1063 x4  1 V 2.25, 4 Mo 2.49
Cu1 0.0000 0.0000 0.5000 x2  8 V 3.01, 8 Mo 3.30
Mo1 0.0000 0.5000 0.2500 x4  4 V 2.49, 4 Mo 2.79

## Properties
DFT formation energy = 0.944 eV/atom
Total magnetic moment = 0.000 μB/atom
E above lowest polymorph = 567 meV per atom
Total energy = -7.8553 eV per atom

---

VASP calculation (PBE-GGA) on a relaxed Pm15Dy4In crystal.

abc: 5.0778 5.0778 25.6260
angles: 90.00 90.00 90.00
With the nearest neighbours (Å) after each atom.
Space group P4/mmm (No. 123)
Inequivalent atoms, fractional coordinates:
Pm1 0.0000 0.0000 0.0000 x1  8 Pm 3.55, 4 In 3.59
Pm2 0.0000 0.0000 0.1969 x2  4 Dy 3.59, 8 Pm 3.61-3.63
Pm3 0.0000 0.0000 0.3989 x2  4 Dy 3.59, 8 Pm 3.62-3.63
Pm4 0.0000 0.5000 0.0966 x4  2 In 3.55, 8 Pm 3.55-3.61, 2 Dy 3.63
Pm5 0.0000 0.5000 0.2984 x4  8 Pm 3.59-3.63, 4 Dy 3.62-3.63
Pm6 0.0000 0.5000 0.5000 x2  8 Pm 3.59-3.63, 4 Dy 3.62
Dy1 0.5000 0.5000 0.1979 x2  12 Pm 3.59-3.63
Dy2 0.5000 0.5000 0.3995 x2  12 Pm 3.59-3.63
In1 0.5000 0.5000 0.0000 x1  12 Pm 3.55-3.59

## Properties
DFT formation energy = -0.037 eV/atom
Total magnetic moment = 0.000 μB/atom
Total energy = -4.6576 eV per atom

---

VASP calculation (PBE-GGA) on a relaxed Y8GaGe3Se4 crystal.

abc: 8.2059 8.2059 20.6790
angles: 90.00 90.00 120.00
With the nearest neighbours (Å) after each atom.
Space group R-3m (No. 166, hexagonal axes)
Inequivalent atoms, fractional coordinates:
Y1 0.0000 0.0000 0.2451 x6  3 Ge 2.87, 3 Se 2.99
Y2 0.0030 0.5015 0.7522 x18  2 Ge 2.89, 1 Ga 2.92, 3 Se 2.94-2.97
Ga1 0.0000 0.0000 0.5000 x3  6 Y 2.92
Ge1 0.0000 0.5000 0.5000 x9  6 Y 2.87-2.89
Se1 0.0000 0.0000 0.0000 x3  6 Y 2.94
Se2 0.0000 0.5000 0.0000 x9  6 Y 2.97-2.99

## Properties
Total magnetic moment = 0.000 μB/atom
ΔE_f (raw) = -1.341 eV/atom
Total energy = -6.4988 eV per atom

---

VASP calculation (PBE-GGA) on a relaxed Ta2AlPt crystal.

abc: 2.8401 4.5024 5.2332
angles: 90.00 96.22 90.00
With the nearest neighbours (Å) after each atom.
Space group Pm (No. 6)
Inequivalent atoms, fractional coordinates:
Ta1 0.0000 0.0000 0.0000 x1  4 Al 2.78-2.91, 3 Pt 2.84-2.88, 4 Ta 2.84-2.85
Ta2 0.2068 0.5000 0.6958 x1  3 Al 2.70-3.01, 4 Pt 2.82-2.97, 4 Ta 2.84-2.85
Al1 0.5873 0.5000 0.1917 x1  2 Pt 2.70, 7 Ta 2.70-3.01, 2 Al 2.84
Pt1 0.6084 0.0000 0.4775 x1  2 Al 2.70, 7 Ta 2.82-2.97, 2 Pt 2.84

## Properties
DFT formation energy = -0.417 eV/atom
Total magnetic moment = 0.000 μB/atom
Total energy = -8.7896 eV per atom

---

VASP calculation (PBE-GGA) on a relaxed OsRh2Cl crystal.

abc: 2.7496 4.5500 9.8545
angles: 90.00 90.00 90.00
With the nearest neighbours (Å) after each atom.
Space group Immm (No. 71)
Inequivalent atoms, fractional coordinates:
Os1 0.0000 0.0000 0.0000 x2  4 Rh 2.64, 4 Cl 2.66, 2 Os 2.75
Rh1 0.0000 0.5000 0.2716 x4  2 Os 2.64, 6 Rh 2.69-2.75
Cl1 0.0000 0.0000 0.5000 x2  4 Os 2.66, 2 Cl 2.75

## Properties
Total magnetic moment = 0.000 μB/atom
E above lowest polymorph = 506 meV per atom
ΔE_f (raw) = 0.788 eV/atom
Total energy = -6.1568 eV per atom